# PBE-GGA SrBOs2, relaxed
data_SrBOs2
_cell_length_a 4.839
_cell_length_b 4.839
_cell_length_c 14.554
_cell_angle_alpha 90.00
_cell_angle_beta 90.00
_cell_angle_gamma 90.00
_symmetry_space_group_name_H-M 'I 41/a m d'
_symmetry_Int_Tables_number 141
loop_
_symmetry_equiv_pos_as_xyz
'x,y,z'
'-x,-y,-z'
'-y+1/4,x+3/4,z+1/4'
'y+1/4,-x+3/4,-z+1/4'
'-x+1/2,-y,z+1/2'
'x+1/2,y,-z+1/2'
'y+1/4,-x+1/4,z+3/4'
'-y+1/4,x+1/4,-z+3/4'
'x,-y,-z'
'-x,y,z'
'-y+1/4,-x+1/4,-z+3/4'
'y+1/4,x+1/4,z+3/4'
'-x+1/2,y,-z+1/2'
'x+1/2,-y,z+1/2'
'y+1/4,x+3/4,-z+1/4'
'-y+1/4,-x+3/4,z+1/4'
'x+1/2,y+1/2,z+1/2'
'-x+1/2,-y+1/2,-z+1/2'
'-y+3/4,x+1/4,z+3/4'
'y+3/4,-x+1/4,-z+3/4'
'-x,-y+1/2,z'
'x,y+1/2,-z'
'y+3/4,-x+3/4,z+1/4'
'-y+3/4,x+3/4,-z+1/4'
'x+1/2,-y+1/2,-z+1/2'
'-x+1/2,y+1/2,z+1/2'
'-y+3/4,-x+3/4,-z+1/4'
'y+3/4,x+3/4,z+1/4'
'-x,y+1/2,-z'
'x,-y+1/2,z'
'y+3/4,x+1/4,-z+3/4'
'-y+3/4,-x+1/4,z+3/4'
loop_
_atom_site_label
_atom_site_type_symbol
_atom_site_fract_x
_atom_site_fract_y
_atom_site_fract_z
Sr1 Sr 0.000 0.250 0.375
B1 B 0.000 0.250 0.875
Os1 Os 0.000 0.000 0.000
# Formation energy from the elements: 0.58 eV per atom

# PBE-GGA SrB3Os, relaxed
data_SrB3Os
_cell_length_a 4.226
_cell_length_b 4.226
_cell_length_c 4.226
_cell_angle_alpha 90.00
_cell_angle_beta 90.00
_cell_angle_gamma 90.00
_symmetry_space_group_name_H-M 'P m -3 m'
_symmetry_Int_Tables_number 221
_symmetry_space_group_name_Hall '-P 4 2 3'
loop_
_atom_site_label
_atom_site_type_symbol
_atom_site_fract_x
_atom_site_fract_y
_atom_site_fract_z
Sr1 Sr 0.000 0.000 0.000
B1 B 0.000 0.000 0.500
Os1 Os 0.500 0.500 0.500
# Formation energy from the elements: 3.58 eV per atom
# Distance to the lowest polymorph of the same formula: 3395 meV/atom

# PBE-GGA SrB3Os, relaxed
data_SrB3Os
_cell_length_a 4.172
_cell_length_b 4.172
_cell_length_c 4.172
_cell_angle_alpha 90.00
_cell_angle_beta 90.00
_cell_angle_gamma 90.00
_symmetry_space_group_name_H-M 'P m -3 m'
_symmetry_Int_Tables_number 221
_symmetry_space_group_name_Hall '-P 4 2 3'
loop_
_atom_site_label
_atom_site_type_symbol
_atom_site_fract_x
_atom_site_fract_y
_atom_site_fract_z
Sr1 Sr 0.000 0.000 0.000
B1 B 0.000 0.500 0.500
Os1 Os 0.500 0.500 0.500
# Formation energy from the elements: 0.18 eV per atom
# Distance to the lowest polymorph of the same formula: 0 meV/atom

# PBE-GGA SrB2Os, relaxed
data_SrB2Os
_cell_length_a 4.874
_cell_length_b 4.874
_cell_length_c 12.753
_cell_angle_alpha 90.00
_cell_angle_beta 90.00
_cell_angle_gamma 90.00
_symmetry_space_group_name_H-M 'I 41/a m d'
_symmetry_Int_Tables_number 141
loop_
_symmetry_equiv_pos_as_xyz
'x,y,z'
'-x,-y,-z'
'-y+1/4,x+3/4,z+1/4'
'y+1/4,-x+3/4,-z+1/4'
'-x+1/2,-y,z+1/2'
'x+1/2,y,-z+1/2'
'y+1/4,-x+1/4,z+3/4'
'-y+1/4,x+1/4,-z+3/4'
'x,-y,-z'
'-x,y,z'
'-y+1/4,-x+1/4,-z+3/4'
'y+1/4,x+1/4,z+3/4'
'-x+1/2,y,-z+1/2'
'x+1/2,-y,z+1/2'
'y+1/4,x+3/4,-z+1/4'
'-y+1/4,-x+3/4,z+1/4'
'x+1/2,y+1/2,z+1/2'
'-x+1/2,-y+1/2,-z+1/2'
'-y+3/4,x+1/4,z+3/4'
'y+3/4,-x+1/4,-z+3/4'
'-x,-y+1/2,z'
'x,y+1/2,-z'
'y+3/4,-x+3/4,z+1/4'
'-y+3/4,x+3/4,-z+1/4'
'x+1/2,-y+1/2,-z+1/2'
'-x+1/2,y+1/2,z+1/2'
'-y+3/4,-x+3/4,-z+1/4'
'y+3/4,x+3/4,z+1/4'
'-x,y+1/2,-z'
'x,-y+1/2,z'
'y+3/4,x+1/4,-z+3/4'
'-y+3/4,-x+1/4,z+3/4'
loop_
_atom_site_label
_atom_site_type_symbol
_atom_site_fract_x
_atom_site_fract_y
_atom_site_fract_z
Sr1 Sr 0.000 0.250 0.375
B1 B 0.000 0.000 0.000
Os1 Os 0.000 0.250 0.875
# Formation energy from the elements: -0.03 eV per atom
# Distance to the lowest polymorph of the same formula: 0 meV/atom

# PBE-GGA SrB2Os, relaxed
data_SrB2Os
_cell_length_a 3.7085
_cell_length_b 3.7085
_cell_length_c 15.6673
_cell_angle_alpha 90.00
_cell_angle_beta 90.00
_cell_angle_gamma 120.00
_symmetry_space_group_name_H-M 'R -3 m'
_symmetry_Int_Tables_number 166
_symmetry_space_group_name_Hall '-R 3 2"'
loop_
_atom_site_label
_atom_site_type_symbol
_atom_site_fract_x
_atom_site_fract_y
_atom_site_fract_z
Sr1 Sr 0.0000 0.0000 0.0000
B1 B 0.0000 0.0000 0.1936
Os1 Os 0.0000 0.0000 0.5000
# Formation energy from the elements: 0.13 eV per atom
# Distance to the lowest polymorph of the same formula: 156 meV/atom

# PBE-GGA SrBTeOs2, relaxed
data_SrBTeOs2
_cell_length_a 4.234
_cell_length_b 4.234
_cell_length_c 5.215
_cell_angle_alpha 90.00
_cell_angle_beta 90.00
_cell_angle_gamma 90.00
_symmetry_space_group_name_H-M 'P 4/m m m'
_symmetry_Int_Tables_number 123
_symmetry_space_group_name_Hall '-P 4 2'
loop_
_atom_site_label
_atom_site_type_symbol
_atom_site_fract_x
_atom_site_fract_y
_atom_site_fract_z
Sr1 Sr 0.000 0.000 0.000
B1 B 0.000 0.000 0.500
Te1 Te 0.500 0.500 0.000
Os1 Os 0.000 0.500 0.500
# E_form (uncorrected): 0.453 eV per atom

# PBE-GGA SrTi2BOs, relaxed
data_SrTi2BOs
_cell_length_a 4.753
_cell_length_b 4.753
_cell_length_c 4.088
_cell_angle_alpha 90.00
_cell_angle_beta 90.00
_cell_angle_gamma 90.00
_symmetry_space_group_name_H-M 'P 4/m m m'
_symmetry_Int_Tables_number 123
_symmetry_space_group_name_Hall '-P 4 2'
loop_
_atom_site_label
_atom_site_type_symbol
_atom_site_fract_x
_atom_site_fract_y
_atom_site_fract_z
Sr1 Sr 0.000 0.000 0.000
Ti1 Ti 0.000 0.500 0.000
B1 B 0.000 0.000 0.500
Os1 Os 0.500 0.500 0.500
# Formation energy from the elements: 2.69 eV per atom

# PBE-GGA Sr2BOsW, relaxed
data_Sr2BOsW
_cell_length_a 5.877
_cell_length_b 5.877
_cell_length_c 4.697
_cell_angle_alpha 90.00
_cell_angle_beta 90.00
_cell_angle_gamma 90.00
_symmetry_space_group_name_H-M 'P 4/m m m'
_symmetry_Int_Tables_number 123
_symmetry_space_group_name_Hall '-P 4 2'
loop_
_atom_site_label
_atom_site_type_symbol
_atom_site_fract_x
_atom_site_fract_y
_atom_site_fract_z
Sr1 Sr 0.000 0.500 0.000
B1 B 0.000 0.000 0.500
Os1 Os 0.500 0.500 0.000
W1 W 0.500 0.500 0.500
# Formation energy from the elements: 1.69 eV per atom

# PBE-GGA Sr2ZrBOs, relaxed
data_Sr2ZrBOs
_cell_length_a 5.309
_cell_length_b 5.309
_cell_length_c 4.560
_cell_angle_alpha 90.00
_cell_angle_beta 90.00
_cell_angle_gamma 90.00
_symmetry_space_group_name_H-M 'P 4/m m m'
_symmetry_Int_Tables_number 123
_symmetry_space_group_name_Hall '-P 4 2'
loop_
_atom_site_label
_atom_site_type_symbol
_atom_site_fract_x
_atom_site_fract_y
_atom_site_fract_z
Sr1 Sr 0.000 0.500 0.000
Zr1 Zr 0.000 0.000 0.500
B1 B 0.000 0.000 0.000
Os1 Os 0.500 0.500 0.500
# Formation energy from the elements: 1.03 eV per atom

# PBE-GGA Ta2B2Os3, relaxed
data_Ta2B2Os3
_cell_length_a 8.857
_cell_length_b 3.696
_cell_length_c 5.640
_cell_angle_alpha 90.00
_cell_angle_beta 100.49
_cell_angle_gamma 90.00
_symmetry_space_group_name_H-M 'C 1 2/m 1'
_symmetry_Int_Tables_number 12
_symmetry_space_group_name_Hall '-C 2y'
loop_
_atom_site_label
_atom_site_type_symbol
_atom_site_fract_x
_atom_site_fract_y
_atom_site_fract_z
Ta1 Ta 0.129 0.000 0.344
B1 B 0.075 0.500 0.639
Os1 Os 0.000 0.500 0.000
Os2 Os 0.184 0.000 0.840
# Formation energy from the elements: -0.38 eV per atom

# PBE-GGA TaB3Os, relaxed
data_TaB3Os
_cell_length_a 4.071
_cell_length_b 4.071
_cell_length_c 4.071
_cell_angle_alpha 90.00
_cell_angle_beta 90.00
_cell_angle_gamma 90.00
_symmetry_space_group_name_H-M 'P m -3 m'
_symmetry_Int_Tables_number 221
_symmetry_space_group_name_Hall '-P 4 2 3'
loop_
_atom_site_label
_atom_site_type_symbol
_atom_site_fract_x
_atom_site_fract_y
_atom_site_fract_z
Ta1 Ta 0.000 0.000 0.000
B1 B 0.000 0.000 0.500
Os1 Os 0.500 0.500 0.500
# Formation energy from the elements: 2.03 eV per atom
# Distance to the lowest polymorph of the same formula: 902 meV/atom

# PBE-GGA TaBOs, relaxed
data_TaBOs
_cell_length_a 10.950
_cell_length_b 3.213
_cell_length_c 6.393
_cell_angle_alpha 90.00
_cell_angle_beta 90.00
_cell_angle_gamma 90.00
_symmetry_space_group_name_H-M 'P m m a'
_symmetry_Int_Tables_number 51
_symmetry_space_group_name_Hall '-P 2a 2a'
loop_
_atom_site_label
_atom_site_type_symbol
_atom_site_fract_x
_atom_site_fract_y
_atom_site_fract_z
Ta1 Ta 0.043 0.000 0.219
Ta2 Ta 0.250 0.000 0.854
B1 B 0.085 0.500 0.950
B2 B 0.250 0.000 0.448
Os1 Os 0.124 0.500 0.573
Os2 Os 0.250 0.500 0.201
# Formation energy from the elements: -0.55 eV per atom
# Distance to the lowest polymorph of the same formula: 0 meV/atom

Going through the records in order, we get D(E_F) values of 16.38; 6.62; 1.39; 0.60; 5.81; 4.04; 9.30; 5.98; 7.09; 6.28; 2.05; 6.55 states/eV/cell.
Going through the records in order, we get uncorrected energy values of -113.92; -15.06; -32.03; -105.49; -77.24; -31.70; -21.95; -25.80; -24.68; -146.84; -32.94; -188.41 eV/cell.